First-principles (PBE) data for V6Ga7 after structural relaxation, as listed in Alexandria.

Properties
- Raw total energy: -6.019 eV per atom
- Crystal system: monoclinic
- Symmetry: Cm
- Size of the total moment: 0.00 μB/f.u.

a = 7.930 Å, b = 7.930 Å, c = 7.855 Å
α = 109.17°, β = 109.17°, γ = 109.11°
Fractional positions:
V (0.000, 0.000, 0.000)
V (0.001, 0.662, 0.010)
V (0.006, 0.006, 0.664)
V (0.316, 0.655, 0.650)
V (0.322, 0.322, 0.679)
V (0.443, 0.443, 0.439)
V (0.647, 0.861, 0.648)
V (0.649, 0.649, 0.315)
V (0.655, 0.316, 0.650)
V (0.660, 0.660, 0.861)
V (0.662, 0.001, 0.010)
V (0.861, 0.647, 0.648)
Ga (0.009, 0.668, 0.394)
Ga (0.022, 0.394, 0.686)
Ga (0.043, 0.301, 0.321)
Ga (0.263, 0.912, 0.927)
Ga (0.294, 0.658, 0.292)
Ga (0.301, 0.043, 0.321)
Ga (0.302, 0.302, 0.028)
Ga (0.394, 0.022, 0.686)
Ga (0.404, 0.670, 0.007)
Ga (0.658, 0.294, 0.292)
Ga (0.668, 0.009, 0.394)
Ga (0.670, 0.404, 0.007)
Ga (0.912, 0.263, 0.927)
Ga (0.923, 0.923, 0.272)


First-principles (PBE) data for KSn3As after structural relaxation, as listed in Alexandria.

Properties
- Raw total energy: -2.187 eV per atom
- Crystal system: cubic
- Symmetry: Pm-3m
- Size of the total moment: 0.00 μB/f.u.

a = 5.797 Å, b = 5.797 Å, c = 5.797 Å
α = 90.00°, β = 90.00°, γ = 90.00°
Fractional positions:
K (0.000, 0.000, 0.000)
Sn (0.000, 0.000, 0.500)
Sn (0.000, 0.500, 0.000)
Sn (0.500, 0.000, 0.000)
As (0.500, 0.500, 0.500)


First-principles (PBE) data for CsAc3Ru after structural relaxation, as listed in Alexandria.

Properties
- Raw total energy: -4.436 eV per atom
- Crystal system: cubic
- Symmetry: Pm-3m
- Size of the total moment: 0.00 μB/f.u.

a = 5.986 Å, b = 5.986 Å, c = 5.986 Å
α = 90.00°, β = 90.00°, γ = 90.00°
Fractional positions:
Cs (0.000, 0.000, 0.000)
Ac (0.000, 0.500, 0.500)
Ac (0.500, 0.000, 0.500)
Ac (0.500, 0.500, 0.000)
Ru (0.500, 0.500, 0.500)


First-principles (PBE) data for Ho2PaP3Rh12 after structural relaxation, as listed in Alexandria.

Properties
- Raw total energy: -7.313 eV per atom
- Crystal system: trigonal
- Symmetry: R-3m
- Size of the total moment: 0.00 μB/f.u.

a = 6.713 Å, b = 6.713 Å, c = 6.713 Å
α = 82.75°, β = 82.75°, γ = 82.75°
Fractional positions:
Ho (0.123, 0.123, 0.123)
Ho (0.877, 0.877, 0.877)
Pa (0.500, 0.500, 0.500)
P (0.000, 0.500, 0.500)
P (0.500, 0.000, 0.500)
P (0.500, 0.500, 0.000)
Rh (0.134, 0.134, 0.588)
Rh (0.134, 0.588, 0.134)
Rh (0.165, 0.679, 0.679)
Rh (0.321, 0.321, 0.835)
Rh (0.321, 0.835, 0.321)
Rh (0.412, 0.866, 0.866)
Rh (0.588, 0.134, 0.134)
Rh (0.679, 0.165, 0.679)
Rh (0.679, 0.679, 0.165)
Rh (0.835, 0.321, 0.321)
Rh (0.866, 0.412, 0.866)
Rh (0.866, 0.866, 0.412)


First-principles (PBE) data for SrAcAlGa after structural relaxation, as listed in Alexandria.

Properties
- Raw total energy: -3.479 eV per atom
- Crystal system: orthorhombic
- Symmetry: Amm2
- Size of the total moment: 0.00 μB/f.u.

a = 4.456 Å, b = 4.795 Å, c = 11.962 Å
α = 90.00°, β = 90.00°, γ = 90.00°
Fractional positions:
Sr (0.000, 0.000, 0.000)
Sr (0.000, 0.500, 0.500)
Ac (0.500, 0.000, 0.284)
Ac (0.500, 0.500, 0.784)
Al (0.000, 0.000, 0.703)
Al (0.000, 0.500, 0.203)
Ga (0.500, 0.000, 0.579)
Ga (0.500, 0.500, 0.079)


First-principles (PBE) data for Y2ScRu after structural relaxation, as listed in Alexandria.

Properties
- Raw total energy: -7.313 eV per atom
- Crystal system: orthorhombic
- Symmetry: Immm
- Size of the total moment: 0.00 μB/f.u.

a = 3.565 Å, b = 5.114 Å, c = 10.547 Å
α = 90.00°, β = 90.00°, γ = 90.00°
Fractional positions:
Y (0.000, 0.000, 0.200)
Y (0.000, 0.000, 0.800)
Y (0.500, 0.500, 0.300)
Y (0.500, 0.500, 0.700)
Sc (0.000, 0.500, 0.000)
Sc (0.500, 0.000, 0.500)
Ru (0.000, 0.500, 0.500)
Ru (0.500, 0.000, 0.000)


First-principles (PBE) data for TmCd11Au after structural relaxation, as listed in Alexandria.

Properties
- Raw total energy: -1.454 eV per atom
- Crystal system: monoclinic
- Symmetry: C2/m
- Size of the total moment: 0.00 μB/f.u.

a = 7.630 Å, b = 7.630 Å, c = 7.597 Å
α = 98.55°, β = 98.55°, γ = 134.75°
Fractional positions:
Tm (0.000, 0.000, 0.000)
Cd (0.000, 0.500, 0.000)
Cd (0.002, 0.656, 0.648)
Cd (0.284, 0.494, 0.788)
Cd (0.344, 0.998, 0.352)
Cd (0.494, 0.284, 0.788)
Cd (0.500, 0.000, 0.000)
Cd (0.500, 0.500, 0.500)
Cd (0.506, 0.716, 0.212)
Cd (0.656, 0.002, 0.648)
Cd (0.716, 0.506, 0.212)
Cd (0.998, 0.344, 0.352)
Au (0.000, 0.000, 0.500)


First-principles (PBE) data for Na2Tl2S after structural relaxation, as listed in Alexandria.

Properties
- E_form (uncorrected): 23 meV per atom
- Crystal system: tetragonal
- Symmetry: I4/mmm
- Size of the total moment: 0.00 μB/f.u.

a = 4.173 Å, b = 4.173 Å, c = 16.955 Å
α = 90.00°, β = 90.00°, γ = 90.00°
Fractional positions:
Na (0.000, 0.500, 0.250)
Na (0.000, 0.500, 0.750)
Na (0.500, 0.000, 0.250)
Na (0.500, 0.000, 0.750)
Tl (0.000, 0.000, 0.087)
Tl (0.000, 0.000, 0.913)
Tl (0.500, 0.500, 0.413)
Tl (0.500, 0.500, 0.587)
S (0.000, 0.000, 0.500)
S (0.500, 0.500, 0.000)


First-principles (PBE) data for Ac2Bi3Au6 after structural relaxation, as listed in Alexandria.

Properties
- Raw total energy: -4.039 eV per atom
- Crystal system: orthorhombic
- Symmetry: Cmmm
- Size of the total moment: 0.00 μB/f.u.

a = 8.465 Å, b = 8.465 Å, c = 4.409 Å
α = 90.00°, β = 90.00°, γ = 110.97°
Fractional positions:
Ac (0.215, 0.215, 0.000)
Ac (0.785, 0.785, 0.000)
Bi (0.256, 0.744, 0.000)
Bi (0.500, 0.500, 0.500)
Bi (0.744, 0.256, 0.000)
Au (0.105, 0.895, 0.500)
Au (0.139, 0.459, 0.500)
Au (0.459, 0.139, 0.500)
Au (0.541, 0.861, 0.500)
Au (0.861, 0.541, 0.500)
Au (0.895, 0.105, 0.500)


First-principles (PBE) data for P2AuS2 after structural relaxation, as listed in Alexandria.

Properties
- E_form (uncorrected): 44 meV per atom
- Crystal system: triclinic
- Symmetry: P1
- Size of the total moment: 0.00 μB/f.u.

a = 3.999 Å, b = 5.197 Å, c = 6.673 Å
α = 101.56°, β = 97.76°, γ = 105.05°
Fractional positions:
P (0.000, 0.000, 0.000)
P (0.340, 0.149, 0.316)
Au (0.431, 0.730, 0.047)
S (0.039, 0.279, 0.829)
S (0.635, 0.535, 0.348)


First-principles (PBE) data for La2ZnReRh after structural relaxation, as listed in Alexandria.

Properties
- Raw total energy: -5.900 eV per atom
- Crystal system: tetragonal
- Symmetry: P4/mmm
- Size of the total moment: 0.00 μB/f.u.

a = 5.614 Å, b = 5.614 Å, c = 4.664 Å
α = 90.00°, β = 90.00°, γ = 90.00°
Fractional positions:
La (0.000, 0.500, 0.000)
La (0.500, 0.000, 0.000)
Zn (0.000, 0.000, 0.500)
Re (0.500, 0.500, 0.000)
Rh (0.500, 0.500, 0.500)


First-principles (PBE) data for BaNa after structural relaxation, as listed in Alexandria.

Properties
- Raw total energy: -1.491 eV per atom
- Crystal system: orthorhombic
- Symmetry: Fddd
- Size of the total moment: 0.00 μB/f.u.

a = 11.268 Å, b = 10.178 Å, c = 7.102 Å
α = 79.20°, β = 62.54°, γ = 38.26°
Fractional positions:
Ba (0.041, 0.709, 0.041)
Ba (0.291, 0.959, 0.291)
Ba (0.709, 0.041, 0.709)
Ba (0.959, 0.291, 0.959)
Na (0.294, 0.294, 0.456)
Na (0.456, 0.456, 0.294)
Na (0.544, 0.544, 0.706)
Na (0.706, 0.706, 0.544)